[1]
A relaxed NaTm4Pb5 crystal. Source: Alexandria via LeMat-Bulk, functional PBE-GGA.

Lattice parameters (Å, degrees): 6.304 7.589 7.589 80.07 65.46 65.46
Atoms (fractional coordinates):
Pb1 0.675 0.173 0.390
Pb2 0.849 0.390 0.827
Pb3 0.238 0.827 0.610
Pb4 0.677 0.000 0.000
Pb5 0.065 0.610 0.173
Tm1 0.776 0.777 0.586
Tm2 0.553 0.586 0.223
Tm3 0.139 0.223 0.414
Tm4 0.362 0.414 0.777
Na1 0.177 0.000 0.000

Calculated values
**Size of the total moment**: 0.00 μB per cell
**Space-group type**: I4
**E_form**: -0.16 eV per atom
**VASP energy**: -0.1445 hartree per atom
**Polymorph energy (0 for the lowest one)**: 176 meV/atom

***

[2]
A relaxed Na4TmPb5 crystal. Source: Alexandria via LeMat-Bulk, functional PBE-GGA.

Lattice parameters (Å, degrees): 3.726 3.726 20.275 90.00 90.00 90.00
Atoms (fractional coordinates):
Pb1 0.500 0.500 0.900
Pb2 0.500 0.500 0.304
Pb3 0.500 0.500 0.100
Pb4 0.500 0.500 0.500
Pb5 0.500 0.500 0.696
Tm1 0.000 0.000 0.000
Na1 0.000 0.000 0.202
Na2 0.000 0.000 0.598
Na3 0.000 0.000 0.798
Na4 0.000 0.000 0.402

Calculated values
**Size of the total moment**: 0.00 μB per cell
**Space-group type**: P4/mmm
**E_form**: -0.18 eV per atom
**VASP energy**: -0.1105 hartree per atom

***

[3]
A relaxed NaTmZnPb crystal. Source: Alexandria via LeMat-Bulk, functional PBE-GGA.

Lattice parameters (Å, degrees): 5.190 5.190 5.190 60.00 60.00 60.00
Atoms (fractional coordinates):
Zn1 0.250 0.250 0.250
Tm1 0.500 0.500 0.500
Pb1 0.750 0.750 0.750
Na1 0.000 0.000 0.000

Calculated values
**Size of the total moment**: 0.00 μB per cell
**Space-group type**: F-43m
**E_form**: -0.20 eV per atom
**VASP energy**: -0.1064 hartree per atom